Entry 1:
{"formula": "P2AuCl", "functional": "SCAN", "state": "PBEsol geometry", "vol_a3_per_fu": 83.2, "relative_energy_ev_per_atom": 0.0000, "raw_formation_energy_ev_per_fu": 1.2, "total_energy_ev_per_atom": -24.17, "lattice": [[-1.4629, -0.7915, -2.8670], [0.6987, -2.8649, 2.3504], [-6.6489, 0.9473, 3.1311]], "species": ["Cl", "Au", "P", "P"], "fractional_positions": [[0.5000, 0.0000, 0.7385], [0.0000, 0.0000, 0.4797], [0.0000, 0.0000, 0.0456], [0.5000, 0.0000, 0.2363]]}

Entry 2:
{"formula": "Al2Co2C", "functional": "SCAN", "state": "PBEsol geometry", "vol_a3_per_fu": 56.8, "total_energy_ev_per_atom": -11.52, "lattice": [[3.8540, 0.0000, 0.0000], [0.0000, 5.4289, 0.0000], [0.0000, 0.0000, 5.4289]], "species": ["Co", "Al", "Co", "C", "C", "Al", "Co", "Al", "Co", "Al"], "fractional_positions": [[0.5000, 0.8499, 0.3499], [0.0000, 0.3360, 0.8360], [0.5000, 0.6501, 0.8499], [0.0000, 0.5000, 0.5000], [0.0000, 0.0000, 0.0000], [0.0000, 0.6640, 0.1640], [0.5000, 0.1501, 0.6501], [0.0000, 0.1640, 0.3360], [0.5000, 0.3499, 0.1501], [0.0000, 0.8360, 0.6640]]}

Entry 3:
{"formula": "LaFeP2", "functional": "SCAN", "state": "PBEsol geometry", "vol_a3_per_fu": 69.4, "relative_energy_ev_per_atom": 0.0000, "total_energy_ev_per_atom": -21.27, "lattice": [[3.7716, 0.0000, 0.0000], [0.0000, 4.3956, -0.1092], [0.0000, -1.0090, 4.2104]], "species": ["P", "Fe", "La", "P"], "fractional_positions": [[0.0000, 0.1134, 0.2730], [0.5000, 0.0000, 0.5000], [0.5000, 0.5000, 0.0000], [0.0000, 0.8866, 0.7270]]}